# 1
CdAu4 at its PBEsol-relaxed geometry. Source: Alexandria, functional SCAN.

Cell: 2.9523 2.9523 34.5978 Å, 90.00 90.00 120.00°
Fractional coordinates of all 15 atoms:
1 Cd 0.0000 0.0000 0.0000
2 Cd 0.3333 0.6667 0.6667
3 Cd 0.6667 0.3333 0.3333
4 Au 0.0000 0.0000 0.1995
5 Au 0.0000 0.0000 0.4007
6 Au 0.0000 0.0000 0.5993
7 Au 0.0000 0.0000 0.8005
8 Au 0.3333 0.6667 0.0674
9 Au 0.3333 0.6667 0.2660
10 Au 0.3333 0.6667 0.4671
11 Au 0.3333 0.6667 0.8662
12 Au 0.6667 0.3333 0.1338
13 Au 0.6667 0.3333 0.5329
14 Au 0.6667 0.3333 0.7340
15 Au 0.6667 0.3333 0.9326

The formation energy is -4.3 kJ per mole of atoms.

# 2
CdAu2 at its PBEsol-relaxed geometry. Source: Alexandria, functional SCAN.

Cell: 3.4548 3.4548 19.5671 Å, 90.00 90.00 90.00°
Fractional coordinates of all 12 atoms:
1 Cd 0.0000 0.2500 0.3750
2 Cd 0.0000 0.7500 0.6250
3 Cd 0.5000 0.2500 0.1250
4 Cd 0.5000 0.7500 0.8750
5 Au 0.0000 0.2500 0.8026
6 Au 0.0000 0.2500 0.9474
7 Au 0.0000 0.7500 0.0526
8 Au 0.0000 0.7500 0.1974
9 Au 0.5000 0.2500 0.5526
10 Au 0.5000 0.2500 0.6974
11 Au 0.5000 0.7500 0.3026
12 Au 0.5000 0.7500 0.4474

The formation energy is -10.4 kJ per mole of atoms.

# 3
Cd4Au3 at its PBEsol-relaxed geometry. Source: Alexandria, functional SCAN.

Cell: 3.5697 3.5697 20.5715 Å, 90.00 90.00 90.00°
Fractional coordinates of all 14 atoms:
1 Cd 0.0000 0.0000 0.0706
2 Cd 0.0000 0.0000 0.3519
3 Cd 0.0000 0.0000 0.6481
4 Cd 0.0000 0.0000 0.9294
5 Cd 0.5000 0.5000 0.1481
6 Cd 0.5000 0.5000 0.4294
7 Cd 0.5000 0.5000 0.5706
8 Cd 0.5000 0.5000 0.8519
9 Au 0.0000 0.0000 0.2129
10 Au 0.0000 0.0000 0.5000
11 Au 0.0000 0.0000 0.7871
12 Au 0.5000 0.5000 0.0000
13 Au 0.5000 0.5000 0.2871
14 Au 0.5000 0.5000 0.7129

The formation energy is -16.5 kJ per mole of atoms.

# 4
Cd2Au at its PBEsol-relaxed geometry. Source: Alexandria, functional SCAN.

Cell: 3.3565 3.8007 8.8925 Å, 90.00 90.00 90.00°
Fractional coordinates of all 6 atoms:
1 Cd 0.0000 0.0000 0.1634
2 Cd 0.0000 0.0000 0.8366
3 Cd 0.5000 0.5000 0.3366
4 Cd 0.5000 0.5000 0.6634
5 Au 0.0000 0.0000 0.5000
6 Au 0.5000 0.5000 0.0000

The formation energy is -16.8 kJ per mole of atoms.

# 5
Cd4Au at its PBEsol-relaxed geometry. Source: Alexandria, functional SCAN.

Cell: 3.4719 3.8545 14.7436 Å, 90.00 90.00 90.00°
Fractional coordinates of all 10 atoms:
1 Cd 0.0000 0.0000 0.0966
2 Cd 0.0000 0.0000 0.3019
3 Cd 0.0000 0.0000 0.6981
4 Cd 0.0000 0.0000 0.9034
5 Cd 0.5000 0.5000 0.1981
6 Cd 0.5000 0.5000 0.4034
7 Cd 0.5000 0.5000 0.5966
8 Cd 0.5000 0.5000 0.8019
9 Au 0.0000 0.0000 0.5000
10 Au 0.5000 0.5000 0.0000

The formation energy is -8.9 kJ per mole of atoms.

# 6
CdAu2 at its PBEsol-relaxed geometry. Source: Alexandria, functional SCAN.

Cell: 2.9388 14.9421 4.8325 Å, 90.00 90.00 90.00°
Fractional coordinates of all 12 atoms:
1 Cd 0.0000 0.2180 0.2500
2 Cd 0.0000 0.7820 0.7500
3 Cd 0.5000 0.2820 0.7500
4 Cd 0.5000 0.7180 0.2500
5 Au 0.0000 0.1132 0.7500
6 Au 0.0000 0.4471 0.7500
7 Au 0.0000 0.5529 0.2500
8 Au 0.0000 0.8868 0.2500
9 Au 0.5000 0.0529 0.2500
10 Au 0.5000 0.3868 0.2500
11 Au 0.5000 0.6132 0.7500
12 Au 0.5000 0.9471 0.7500

The formation energy is -9.1 kJ per mole of atoms.

# 7
Cd2Au at its PBEsol-relaxed geometry. Source: Alexandria, functional SCAN.

Cell: 10.7669 3.1104 6.9355 Å, 90.00 103.39 90.00°
Fractional coordinates of all 12 atoms:
1 Cd 0.0000 0.0000 0.0000
2 Cd 0.0543 0.0000 0.5974
3 Cd 0.2220 0.5000 0.9308
4 Cd 0.3755 0.0000 0.2778
5 Cd 0.5000 0.5000 0.0000
6 Cd 0.5543 0.5000 0.5974
7 Cd 0.7220 0.0000 0.9308
8 Cd 0.8755 0.5000 0.2778
9 Au 0.1574 0.5000 0.3217
10 Au 0.3347 0.0000 0.6655
11 Au 0.6574 0.0000 0.3217
12 Au 0.8347 0.5000 0.6655

The formation energy is -13.3 kJ per mole of atoms.

# 8
Cd2Au at its PBEsol-relaxed geometry. Source: Alexandria, functional SCAN.

Cell: 7.9454 7.9454 3.1415 Å, 90.00 90.00 120.00°
Fractional coordinates of all 9 atoms:
1 Cd 0.0000 0.2941 0.0000
2 Cd 0.0000 0.6264 0.5000
3 Cd 0.2941 0.0000 0.0000
4 Cd 0.3736 0.3736 0.5000
5 Cd 0.6264 0.0000 0.5000
6 Cd 0.7059 0.7059 0.0000
7 Au 0.0000 0.0000 0.5000
8 Au 0.3333 0.6667 0.0000
9 Au 0.6667 0.3333 0.0000

The formation energy is -19.9 kJ per mole of atoms.

# 9
CdAu5 at its PBEsol-relaxed geometry. Source: Alexandria, functional SCAN.

Cell: 5.4014 5.4014 4.6248 Å, 90.00 90.00 120.00°
Fractional coordinates of all 6 atoms:
1 Cd 0.0000 0.0000 0.0000
2 Au 0.0000 0.5000 0.5000
3 Au 0.3333 0.6667 0.0000
4 Au 0.5000 0.0000 0.5000
5 Au 0.5000 0.5000 0.5000
6 Au 0.6667 0.3333 0.0000

The formation energy is -2.2 kJ per mole of atoms.

# 10
Cd4Au at its PBEsol-relaxed geometry. Source: Alexandria, functional SCAN.

Cell: 6.7527 6.7527 4.2435 Å, 90.00 90.00 90.00°
Fractional coordinates of all 10 atoms:
1 Cd 0.1021 0.2979 0.0000
2 Cd 0.2021 0.6021 0.5000
3 Cd 0.2979 0.8979 0.0000
4 Cd 0.3979 0.2021 0.5000
5 Cd 0.6021 0.7979 0.5000
6 Cd 0.7021 0.1021 0.0000
7 Cd 0.7979 0.3979 0.5000
8 Cd 0.8979 0.7021 0.0000
9 Au 0.0000 0.0000 0.5000
10 Au 0.5000 0.5000 0.0000

The formation energy is -8.4 kJ per mole of atoms.

# 11
Cd7Au at its PBEsol-relaxed geometry. Source: Alexandria, functional SCAN.

Cell: 6.0809 6.0809 6.0809 Å, 60.00 60.00 60.00°
Fractional coordinates of all 8 atoms:
1 Cd 0.0000 0.0000 0.0000
2 Cd 0.0000 0.0000 0.5000
3 Cd 0.0000 0.5000 0.0000
4 Cd 0.0000 0.5000 0.5000
5 Cd 0.5000 0.0000 0.0000
6 Cd 0.5000 0.0000 0.5000
7 Cd 0.5000 0.5000 0.0000
8 Au 0.5000 0.5000 0.5000

The formation energy is -3.3 kJ per mole of atoms.

# 12
Cd4Au at its PBEsol-relaxed geometry. Source: Alexandria, functional SCAN.

Cell: 9.5785 3.4154 7.0765 Å, 90.00 120.97 90.00°
Fractional coordinates of all 10 atoms:
1 Cd 0.0924 0.0000 0.3873
2 Cd 0.2086 0.5000 0.8072
3 Cd 0.2914 0.0000 0.1928
4 Cd 0.4076 0.5000 0.6127
5 Cd 0.5924 0.5000 0.3873
6 Cd 0.7086 0.0000 0.8072
7 Cd 0.7914 0.5000 0.1928
8 Cd 0.9076 0.0000 0.6127
9 Au 0.0000 0.5000 0.0000
10 Au 0.5000 0.0000 0.0000

The formation energy is -8.8 kJ per mole of atoms.

# 13
CdAu4 at its PBEsol-relaxed geometry. Source: Alexandria, functional SCAN.

Cell: 6.0209 6.0209 6.0209 Å, 90.00 90.00 90.00°
Fractional coordinates of all 10 atoms:
1 Cd 0.0000 0.0000 0.0000
2 Cd 0.5000 0.5000 0.5000
3 Au 0.2500 0.2500 0.2500
4 Au 0.2500 0.2500 0.7500
5 Au 0.2500 0.7500 0.2500
6 Au 0.2500 0.7500 0.7500
7 Au 0.7500 0.2500 0.2500
8 Au 0.7500 0.2500 0.7500
9 Au 0.7500 0.7500 0.2500
10 Au 0.7500 0.7500 0.7500

The formation energy is 31.8 kJ per mole of atoms.

# 14
Cd3Au5 at its PBEsol-relaxed geometry. Source: Alexandria, functional SCAN.

Cell: 7.8948 8.5522 4.2156 Å, 90.00 90.00 90.00°
Fractional coordinates of all 16 atoms:
1 Cd 0.0000 0.0000 0.0000
2 Cd 0.0000 0.2613 0.5000
3 Cd 0.0000 0.7387 0.5000
4 Cd 0.5000 0.2387 0.5000
5 Cd 0.5000 0.5000 0.0000
6 Cd 0.5000 0.7613 0.5000
7 Au 0.0000 0.5000 0.0000
8 Au 0.2417 0.0000 0.5000
9 Au 0.2500 0.2500 0.0000
10 Au 0.2500 0.7500 0.0000
11 Au 0.2583 0.5000 0.5000
12 Au 0.5000 0.0000 0.0000
13 Au 0.7417 0.5000 0.5000
14 Au 0.7500 0.2500 0.0000
15 Au 0.7500 0.7500 0.0000
16 Au 0.7583 0.0000 0.5000

The formation energy is -18.6 kJ per mole of atoms.

# 15
CdAu4 at its PBEsol-relaxed geometry. Source: Alexandria, functional SCAN.

Cell: 2.9526 4.0470 14.5181 Å, 90.00 90.00 90.00°
Fractional coordinates of all 10 atoms:
1 Cd 0.0000 0.0000 0.0000
2 Cd 0.5000 0.5000 0.5000
3 Au 0.0000 0.0000 0.2009
4 Au 0.0000 0.0000 0.3994
5 Au 0.0000 0.0000 0.6006
6 Au 0.0000 0.0000 0.7991
7 Au 0.5000 0.5000 0.1006
8 Au 0.5000 0.5000 0.2991
9 Au 0.5000 0.5000 0.7009
10 Au 0.5000 0.5000 0.8994

The formation energy is -10.3 kJ per mole of atoms.

# 16
CdAu2 at its PBEsol-relaxed geometry. Source: Alexandria, functional SCAN.

Cell: 4.6672 4.6672 2.8260 Å, 90.00 90.00 120.00°
Fractional coordinates of all 3 atoms:
1 Cd 0.0000 0.0000 0.0000
2 Au 0.3333 0.6667 0.6256
3 Au 0.6667 0.3333 0.3744

The formation energy is -13.9 kJ per mole of atoms.

# 17
CdAu2 at its PBEsol-relaxed geometry. Source: Alexandria, functional SCAN.

Cell: 5.4463 5.4463 5.4463 Å, 60.00 60.00 60.00°
Fractional coordinates of all 6 atoms:
1 Cd 0.1250 0.1250 0.1250
2 Cd 0.8750 0.8750 0.8750
3 Au 0.0000 0.5000 0.5000
4 Au 0.5000 0.0000 0.5000
5 Au 0.5000 0.5000 0.0000
6 Au 0.5000 0.5000 0.5000

The formation energy is -12.3 kJ per mole of atoms.

# 18
CdAu5 at its PBEsol-relaxed geometry. Source: Alexandria, functional SCAN.

Cell: 2.9137 5.5751 6.8755 Å, 74.07 89.91 75.12°
Fractional coordinates of all 6 atoms:
1 Cd 0.0000 0.0000 0.0000
2 Au 0.2802 0.4404 0.0609
3 Au 0.3369 0.3303 0.6668
4 Au 0.6135 0.7710 0.7265
5 Au 0.6687 0.6648 0.3345
6 Au 0.9478 0.1041 0.3938

The formation energy is -8.1 kJ per mole of atoms.

# 19
Cd3Au5 at its PBEsol-relaxed geometry. Source: Alexandria, functional SCAN.

Cell: 7.8712 7.8712 7.5538 Å, 93.42 93.42 140.34°
Fractional coordinates of all 16 atoms:
1 Cd 0.0000 0.0000 0.0000
2 Cd 0.4793 0.9097 0.6767
3 Cd 0.5856 0.5856 0.6149
4 Cd 0.6078 0.9458 0.2748
5 Cd 0.9097 0.4793 0.6767
6 Cd 0.9458 0.6078 0.2748
7 Au 0.1557 0.4651 0.3978
8 Au 0.1866 0.9976 0.6907
9 Au 0.3023 0.9033 0.0099
10 Au 0.4395 0.6423 0.9370
11 Au 0.4651 0.1557 0.3978
12 Au 0.4682 0.4682 0.2346
13 Au 0.6423 0.4395 0.9370
14 Au 0.9033 0.3023 0.0099
15 Au 0.9886 0.9886 0.3657
16 Au 0.9976 0.1866 0.6907

The formation energy is -15.6 kJ per mole of atoms.

# 20
CdAu2 at its PBEsol-relaxed geometry. Source: Alexandria, functional SCAN.

Cell: 2.9976 4.0199 5.0283 Å, 113.31 106.08 90.03°
Fractional coordinates of all 3 atoms:
1 Cd 0.0000 0.0000 0.0000
2 Au 0.3351 0.3338 0.6669
3 Au 0.6649 0.6662 0.3331

The formation energy is -17.3 kJ per mole of atoms.

no.,spin magnetization (μB/cell),E_tot (hartree per atom)
1,0.000,-2.258
2,0.000,-2.071
3,0.000,-1.734
4,0.001,-1.599
5,0.000,-1.406
6,0.000,-2.070
7,0.000,-1.597
8,0.000,-1.600
9,0.000,-2.305
10,0.000,-1.406
11,0.000,-1.297
12,0.001,-1.406
13,0.000,-2.245
14,0.000,-2.015
15,0.000,-2.261
16,0.000,-2.072
17,0.000,-2.072
18,0.000,-2.307
19,0.000,-2.014
20,0.000,-2.073